No. 1
First-principles (GGA-PBE) data for crystalline CaIn3Ru at its relaxed geometry, as listed in Alexandria.

Structure (POSCAR):
```
CaIn3Ru
1.0
5.663 0.000 0.000
0.000 5.663 0.000
0.000 0.000 5.663
Ca In Ru
1 3 1
Direct
0.000 0.000 0.000
0.000 0.000 0.500
0.000 0.500 0.000
0.500 0.000 0.000
0.500 0.500 0.500
```

Summary:
For the calculated total energy, the calculation gives -12.0 eV/cell. Its total magnetization is 2.29 μB/f.u. Its crystal system is cubic. For the density of states at the Fermi level, the calculation gives 1.63 states/eV per atom.



No. 2
First-principles (GGA-PBE) data for crystalline CaIn2Ru at its relaxed geometry, as listed in Alexandria.

Structure (POSCAR):
```
CaIn2Ru
1.0
3.333 0.000 0.000
0.000 3.333 0.000
0.000 0.000 7.816
Ca In Ru
1 2 1
Direct
0.000 0.000 0.000
0.500 0.500 0.301
0.500 0.500 0.699
0.000 0.000 0.500
```

Summary:
For the calculated total energy, the calculation gives -17.4 eV/cell. Its total magnetization is 0.00 μB/f.u. Its crystal system is tetragonal. For the density of states at the Fermi level, the calculation gives 0.37 states/eV per atom.



No. 3
First-principles (GGA-PBE) data for crystalline CaInRu3 at its relaxed geometry, as listed in Alexandria.

Structure (POSCAR):
```
CaInRu3
1.0
4.947 0.000 0.000
0.000 4.947 0.000
0.000 0.000 4.947
Ca In Ru
1 1 3
Direct
0.000 0.000 0.000
0.500 0.500 0.500
0.000 0.500 0.500
0.500 0.000 0.500
0.500 0.500 0.000
```

Summary:
For the calculated total energy, the calculation gives -25.5 eV/cell. Its total magnetization is 4.75 μB/f.u. Its crystal system is cubic. For the density of states at the Fermi level, the calculation gives 1.32 states/eV per atom.



No. 4
First-principles (GGA-PBE) data for crystalline CaIn2Ru at its relaxed geometry, as listed in Alexandria.

Structure (POSCAR):
```
CaIn2Ru
1.0
1.742 1.006 8.964
-1.742 1.006 8.964
0.000 -2.011 8.964
Ca In Ru
1 2 1
Direct
0.000 0.000 0.000
0.236 0.236 0.236
0.764 0.764 0.764
0.500 0.500 0.500
```

Summary:
For the calculated total energy, the calculation gives -16.4 eV/cell. Its total magnetization is 0.00 μB/f.u. Its crystal system is trigonal. For the density of states at the Fermi level, the calculation gives 0.84 states/eV per atom.



No. 5
First-principles (GGA-PBE) data for crystalline CaIn4Ru at its relaxed geometry, as listed in Alexandria.

Structure (POSCAR):
```
CaIn4Ru
1.0
0.000 4.147 4.147
4.147 0.000 4.147
4.147 4.147 0.000
Ca In Ru
1 4 1
Direct
0.000 0.000 0.000
0.126 0.625 0.625
0.625 0.126 0.625
0.625 0.625 0.126
0.625 0.625 0.625
0.250 0.250 0.250
```

Summary:
For the calculated total energy, the calculation gives -20.6 eV/cell. Its total magnetization is 1.66 μB/f.u. Its crystal system is cubic. For the density of states at the Fermi level, the calculation gives 0.52 states/eV per atom.



No. 6
First-principles (GGA-PBE) data for crystalline CaInRu2 at its relaxed geometry, as listed in Alexandria.

Structure (POSCAR):
```
CaInRu2
1.0
1.557 0.899 8.835
-1.557 0.899 8.835
0.000 -1.798 8.835
Ca In Ru
1 1 2
Direct
0.000 0.000 0.000
0.500 0.500 0.500
0.245 0.245 0.245
0.755 0.755 0.755
```

Summary:
For the calculated total energy, the calculation gives -21.5 eV/cell. Its total magnetization is 0.00 μB/f.u. Its crystal system is trigonal. For the density of states at the Fermi level, the calculation gives 1.02 states/eV per atom.